DFT (PBE-GGA) results for a relaxed structure of Zr2TaFe.

## Properties
**Calculated formation energy**: 0.1443 eV/atom
**Uncorrected energy**: -9.209 eV/atom

Cell lengths 4.698, 4.698, 3.324 Å; angles 90.00, 90.00, 90.00 degrees
Space group P4/mmm (No. 123)
One atom of each set of equivalent atoms:
Zr: 0.000 0.500 0.000 x2
Ta: 0.000 0.000 0.500 x1
Fe: 0.500 0.500 0.500 x1